Record 1
Here is a relaxed Rb2SiHg2 crystal from Alexandria via LeMat-Bulk. Energies are from GGA-PBE.

abc: 7.524 7.524 5.861
angles: 90.00 90.00 90.00
Element x y z (fractional)
1 Rb 0.176 0.324 0.000
2 Rb 0.324 0.824 0.000
3 Rb 0.676 0.176 0.000
4 Rb 0.824 0.676 0.000
5 Si 0.000 0.000 0.500
6 Si 0.500 0.500 0.500
7 Hg 0.152 0.652 0.500
8 Hg 0.348 0.152 0.500
9 Hg 0.652 0.848 0.500
10 Hg 0.848 0.348 0.500

Formation energy (no corrections) (eV/atom): 0.07
Energy relative to the lowest polymorph listed for this composition (eV/f.u.): 0.00
Symmetry: P4/mbm (127)


Record 2
Here is a relaxed Y8SnS6 crystal from Alexandria via LeMat-Bulk. Energies are from GGA-PBE.

abc: 10.243 10.243 3.934
angles: 90.00 90.00 120.00
Element x y z (fractional)
1 Y 0.035 0.699 0.252
2 Y 0.301 0.336 0.252
3 Y 0.333 0.667 0.748
4 Y 0.336 0.035 0.748
5 Y 0.664 0.965 0.252
6 Y 0.667 0.333 0.252
7 Y 0.699 0.664 0.748
8 Y 0.965 0.301 0.748
9 Sn 0.000 0.000 0.500
10 S 0.137 0.483 0.250
11 S 0.346 0.863 0.250
12 S 0.483 0.346 0.750
13 S 0.517 0.654 0.250
14 S 0.654 0.137 0.750
15 S 0.863 0.517 0.750

Formation energy (no corrections) (eV/atom): -1.58
Symmetry: P-3 (147)


Record 3
Here is a relaxed Li2MgZn crystal from Alexandria via LeMat-Bulk. Energies are from GGA-PBE.

abc: 5.534 9.337 2.936
angles: 90.00 109.08 90.00
Element x y z (fractional)
1 Li 0.250 0.250 0.000
2 Li 0.250 0.750 0.000
3 Li 0.750 0.250 0.000
4 Li 0.750 0.750 0.000
5 Mg 0.000 0.000 0.500
6 Mg 0.500 0.500 0.500
7 Zn 0.000 0.500 0.500
8 Zn 0.500 0.000 0.500

Symmetry: C2/m (12)
Formation enthalpy at 0 K (eV/atom): -0.07


no.,calculated volume (Å³/f.u.)
1,165.9
2,357.4
3,71.7